First-principles (GGA-PBE) data for an optimized crystal structure of Nd2NpUAs4, as listed in Alexandria via LeMat-Bulk.

Summary:
**Uncorrected energy**: -7.65 eV/atom
**Total magnetic moment**: 0.77 μB per atom
**Energy of formation from the pure elements**: -1107 meV per atom
**V**: 206 Å³ per cell

Lattice parameters (Å, degrees): 7.190 4.156 7.314 90.00 109.16 90.00
Space group P2/m (No. 10)
One atom of each set of equivalent atoms:
1 Nd 0.000 0.000 0.000
2 Nd 0.500 0.500 0.000
3 Np 0.000 0.500 0.500
4 U 0.500 0.000 0.500
5 As 0.247 0.000 0.737
6 As 0.256 0.500 0.263

---

First-principles (GGA-PBE) data for an optimized crystal structure of Be3Tl, as listed in Alexandria via LeMat-Bulk.

Summary:
**Uncorrected energy**: -2.46 eV/atom
**Total magnetic moment**: 0.00 μB per atom
**Energy of formation from the pure elements**: 925 meV per atom
**V**: 169 Å³ per cell

Lattice parameters (Å, degrees): 8.0442 8.0442 3.0173 90.00 90.00 120.00
Space group R-3m (No. 166, hexagonal axes)
One atom of each set of equivalent atoms:
1 Be 0.0000 0.5000 0.0000
2 Tl 0.0000 0.0000 0.0000

---

First-principles (GGA-PBE) data for an optimized crystal structure of AcNd2Ho6, as listed in Alexandria via LeMat-Bulk.

Summary:
**Uncorrected energy**: -4.19 eV/atom
**Total magnetic moment**: 0.00 μB per atom
**Energy of formation from the pure elements**: 375 meV per atom
**V**: 1046 Å³ per cell

Lattice parameters (Å, degrees): 6.8930 6.8930 25.4197 90.00 90.00 120.00
Space group R3m (No. 160, hexagonal axes)
One atom of each set of equivalent atoms:
1 Ac 0.0000 0.0000 0.0000
2 Nd 0.0000 0.0000 0.2434
3 Nd 0.0000 0.0000 0.4146
4 Ho 0.0041 0.5020 0.2166
5 Ho 0.1712 0.3425 0.7828